[1]
Tm3InGa2: optimized geometry, PBE-GGA.

The space group is P4/mmm (No. 123) and the conventional cell measures 3.5229, 3.5229 and 11.2071 Å, with angles of 90.00, 90.00 and 90.00 degrees. The distinct sites, in fractional coordinates, are Tm at (0.0000, 0.0000, 0.0000), Tm at (0.0000, 0.0000, 0.3173), In at (0.5000, 0.5000, 0.5000) and Ga at (0.5000, 0.5000, 0.1597).

[2]
TmInGa: optimized geometry, PBE-GGA.

The space group is F-43m (No. 216) and the conventional cell measures 6.6436, 6.6436 and 6.6436 Å, with angles of 90.00, 90.00 and 90.00 degrees. The distinct sites, in fractional coordinates, are Tm at (0.0000, 0.0000, 0.0000), In at (0.0000, 0.0000, 0.5000) and Ga at (0.2500, 0.2500, 0.2500).

[3]
TmInGa: optimized geometry, PBE-GGA.

The space group is Cmcm (No. 63) and the conventional cell measures 3.3393, 16.4036 and 5.4253 Å, with angles of 90.00, 90.00 and 90.00 degrees. The distinct sites, in fractional coordinates, are Tm at (0.0000, 0.1785, 0.2500), In at (0.0000, 0.0000, 0.0000) and Ga at (0.0000, 0.3555, 0.2500).

[4]
Tm3In2Ga: optimized geometry, PBE-GGA.

The space group is P-3m1 (No. 164) and the conventional cell measures 5.1679, 5.1679 and 6.3567 Å, with angles of 90.00, 90.00 and 120.00 degrees. The distinct sites, in fractional coordinates, are Tm at (0.0000, 0.0000, 0.0000), Tm at (0.3333, 0.6667, 0.6544), In at (0.3333, 0.6667, 0.1601) and Ga at (0.0000, 0.0000, 0.5000).

[5]
Tm12In6Ga: optimized geometry, PBE-GGA.

The space group is R-3 (No. 148, hexagonal axes) and the conventional cell measures 13.3036, 13.3036 and 12.2255 Å, with angles of 90.00, 90.00 and 120.00 degrees. The distinct sites, in fractional coordinates, are Tm at (0.0384, 0.8237, 0.3941), Tm at (0.0499, 0.8422, 0.8897), In at (0.0510, 0.7850, 0.6494) and Ga at (0.0000, 0.0000, 0.0000).

[6]
TmInGa4: optimized geometry, PBE-GGA.

The space group is F-43m (No. 216) and the conventional cell measures 7.8753, 7.8753 and 7.8753 Å, with angles of 90.00, 90.00 and 90.00 degrees. The distinct sites, in fractional coordinates, are Tm at (0.0000, 0.0000, 0.0000), In at (0.2500, 0.2500, 0.7500) and Ga at (0.1255, 0.1255, 0.3745).

[7]
Tm6In2Ga: optimized geometry, PBE-GGA.

The space group is Immm (No. 71) and the conventional cell measures 5.0419, 7.1405 and 15.1147 Å, with angles of 90.00, 90.00 and 90.00 degrees. The distinct sites, in fractional coordinates, are Tm at (0.0000, 0.2387, 0.0000), Tm at (0.0000, 0.2556, 0.3378), In at (0.0000, 0.5000, 0.1660) and Ga at (0.0000, 0.5000, 0.5000).

[8]
TmInGa: optimized geometry, PBE-GGA.

The space group is Cmcm (No. 63) and the conventional cell measures 5.2437, 8.4775 and 6.1358 Å, with angles of 90.00, 90.00 and 90.00 degrees. The distinct sites, in fractional coordinates, are Tm at (0.0000, 0.1611, 0.2500), In at (0.0000, 0.5000, 0.0000) and Ga at (0.0000, 0.1804, 0.7500).

[9]
Tm3InGa4: optimized geometry, PBE-GGA.

The space group is Immm (No. 71) and the conventional cell measures 3.5045, 6.3527 and 16.6965 Å, with angles of 90.00, 90.00 and 90.00 degrees. The distinct sites, in fractional coordinates, are Tm at (0.0000, 0.0000, 0.0000), Tm at (0.0000, 0.5000, 0.2099), In at (0.0000, 0.0000, 0.5000) and Ga at (0.0000, 0.2984, 0.3725).

[10]
TmInGa: optimized geometry, PBE-GGA.

The space group is P4/nmm (No. 129, origin choice 2) and the conventional cell measures 4.2370, 4.2370 and 7.6821 Å, with angles of 90.00, 90.00 and 90.00 degrees. The distinct sites, in fractional coordinates, are Tm at (0.2500, 0.2500, 0.1549), In at (0.2500, 0.7500, 0.5000) and Ga at (0.2500, 0.2500, 0.7797).

[11]
Tm5InGa4: optimized geometry, PBE-GGA.

The space group is P4/mmm (No. 123) and the conventional cell measures 3.5109, 3.5109 and 18.3837 Å, with angles of 90.00, 90.00 and 90.00 degrees. The distinct sites, in fractional coordinates, are Tm at (0.0000, 0.0000, 0.0000), Tm at (0.0000, 0.0000, 0.1925), Tm at (0.0000, 0.0000, 0.3875), In at (0.5000, 0.5000, 0.5000), Ga at (0.5000, 0.5000, 0.0956) and Ga at (0.5000, 0.5000, 0.2903).

[12]
Tm12InGa6: optimized geometry, PBE-GGA.

The space group is Im-3 (No. 204) and the conventional cell measures 9.9237, 9.9237 and 9.9237 Å, with angles of 90.00, 90.00 and 90.00 degrees. The distinct sites, in fractional coordinates, are Tm at (0.0000, 0.1891, 0.2924), In at (0.0000, 0.0000, 0.0000) and Ga at (0.0000, 0.3766, 0.5000).

Number 1: formation energy -0.52 eV per atom, total moment 0.00 μB per atom, volume 23.18 Å³/atom. Number 2: formation energy -0.32 eV per atom, total moment 0.00 μB per atom, volume 24.44 Å³/atom. Number 3: formation energy -0.16 eV per atom, total moment 0.00 μB per atom, volume 24.77 Å³/atom. Number 4: formation energy -0.45 eV per atom, total moment 0.00 μB per atom, volume 24.50 Å³/atom. Number 5: formation energy -0.03 eV per atom, total moment 0.00 μB per atom, volume 32.87 Å³/atom. Number 6: formation energy -0.20 eV per atom, total moment 0.00 μB per atom, volume 20.35 Å³/atom. Number 7: formation energy -0.13 eV per atom, total moment 0.00 μB per atom, volume 30.23 Å³/atom. Number 8: formation energy -0.38 eV per atom, total moment 0.00 μB per atom, volume 22.73 Å³/atom. Number 9: formation energy -0.37 eV per atom, total moment 0.00 μB per atom, volume 23.23 Å³/atom. Number 10: formation energy -0.39 eV per atom, total moment 0.00 μB per atom, volume 22.99 Å³/atom. Number 11: formation energy -0.54 eV per atom, total moment 0.00 μB per atom, volume 22.66 Å³/atom. Number 12: formation energy -0.38 eV per atom, total moment 0.00 μB per atom, volume 25.72 Å³/atom.